Na3CoPt3O8 | PBE+U | optimized geometry

## Properties
Total DFT energy (no corrections) (eV/atom): -5.335
Magnetization (Bohr magnetons per cell): 0.0

abc: 6.4073 6.4073 6.2340
angles: 114.49 114.49 56.63
Atoms (fractional coordinates):
Na: 0.0000 0.0000 0.0000
Na: 0.0000 0.5000 0.0000
Na: 0.5000 0.0000 0.0000
Co: 0.0000 0.0000 0.5000
Pt: 0.0000 0.5000 0.5000
Pt: 0.5000 0.0000 0.5000
Pt: 0.5000 0.5000 0.5000
O: 0.2049 0.2049 0.6781
O: 0.2066 0.7162 0.6658
O: 0.2178 0.2178 0.2552
O: 0.2838 0.7934 0.3342
O: 0.7162 0.2066 0.6658
O: 0.7822 0.7822 0.7448
O: 0.7934 0.2838 0.3342
O: 0.7951 0.7951 0.3219